10
Lattice="-2.781 5.237 -0.865 -4.270 -1.658 3.696 5.680 -0.225 1.775" Properties=species:S:1:pos:R:3 comment="PBE UZnPb2O6, relaxed" raw_formation_energy_kj_per_mol_atoms=-188.72 magnetic_moment_mub_per_cell=0.0 pbc="T T T"
U -2.135 -0.829 1.848
Zn -1.391 2.619 -0.432
Pb 1.185 0.622 1.648
Pb -2.557 2.733 2.958
O -1.335 0.328 3.292
O 3.698 0.510 2.153
O -2.930 3.676 0.601
O 1.558 -0.321 4.005
O -5.070 2.845 2.453
O -0.037 3.027 1.315